(1)
Density functional theory data (GGA-PBE) for an optimized crystal structure of KNiHgH2.

Values from the calculation:
For the size of the total moment, the calculation gives 0.000 μB/atom. Its crystal system is tetragonal. The symmetry is P4/mmm, No. 123.

a = 4.1954 Å, b = 4.1954 Å, c = 4.9818 Å
α = 90.00°, β = 90.00°, γ = 90.00°
Closest atoms and distances in Å follow each position.
Sites, in units of the cell vectors:
1 K 0.0000 0.0000 0.0000  4 Hg 2.97, 8 H 3.26
2 Ni 0.5000 0.5000 0.5000  4 H 2.10
3 Hg 0.5000 0.5000 0.0000  2 Ni 2.49
4 H 0.0000 0.5000 0.5000  2 Ni 2.10
5 H 0.5000 0.0000 0.5000  2 Ni 2.10

---

(2)
Density functional theory data (GGA-PBE) for an optimized crystal structure of La6Ho5Th.

Values from the calculation:
Its formation energy is 0.035 eV per atom. For the size of the total moment, the calculation gives 0.000 μB/atom. Its crystal system is orthorhombic. The symmetry is Immm, No. 71.

a = 9.6331 Å, b = 9.6331 Å, c = 9.6331 Å
α = 148.74°, β = 116.48°, γ = 72.51°
Closest atoms and distances in Å follow each position.
Sites, in units of the cell vectors:
1 La 0.0865 0.3361 0.7504  7 Ho 3.59-3.70, 1 Th 3.60, 4 La 3.64-3.73
2 La 0.2491 0.0000 0.2491  6 Ho 3.57-3.65, 2 Th 3.62, 4 La 3.64
3 La 0.4143 0.6639 0.7504  7 Ho 3.59-3.70, 1 Th 3.60, 4 La 3.64-3.73
4 La 0.5857 0.3361 0.2496  7 Ho 3.59-3.70, 1 Th 3.60, 4 La 3.64-3.73
5 La 0.7509 0.0000 0.7509  6 Ho 3.57-3.65, 2 Th 3.62, 4 La 3.64
6 La 0.9135 0.6639 0.2496  7 Ho 3.59-3.70, 1 Th 3.60, 4 La 3.64-3.73
7 Ho 0.1625 0.1625 0.0000  8 La 3.57-3.70, 2 Th 3.62, 2 Ho 3.69
8 Ho 0.3313 0.8313 0.5000  8 La 3.63-3.65, 4 Ho 3.69
9 Ho 0.5000 0.5000 0.0000  8 La 3.59-3.63, 4 Ho 3.69
10 Ho 0.6687 0.1687 0.5000  8 La 3.63-3.65, 4 Ho 3.69
11 Ho 0.8375 0.8375 0.0000  8 La 3.57-3.70, 2 Th 3.62, 2 Ho 3.69
12 Th 0.0000 0.5000 0.5000  8 La 3.60-3.62, 4 Ho 3.62

---

(3)
Density functional theory data (GGA-PBE) for an optimized crystal structure of Cs2Li2BiO4.

Values from the calculation:
For the size of the total moment, the calculation gives 0.000 μB/atom. Its crystal system is monoclinic. The formation energy without anion corrections comes out at -1.396 eV per atom. The symmetry is C2/m, No. 12.

a = 6.7244 Å, b = 6.7244 Å, c = 6.9168 Å
α = 107.93°, β = 107.93°, γ = 31.38°
Closest atoms and distances in Å follow each position.
Sites, in units of the cell vectors:
1 Cs 0.1435 0.1435 0.0756  7 O 3.12-3.40, 3 Li 3.13-3.31
2 Cs 0.8565 0.8565 0.9244  7 O 3.12-3.40, 3 Li 3.13-3.31
3 Li 0.3194 0.3194 0.5077  4 O 2.00-2.08
4 Li 0.6806 0.6806 0.4923  4 O 2.00-2.08
5 Bi 0.0000 0.0000 0.5000  6 O 2.29-2.34
6 O 0.1866 0.1866 0.6154  3 Li 2.00-2.08
7 O 0.4797 0.4797 0.6976  1 Li 2.07
8 O 0.5203 0.5203 0.3024  1 Li 2.07
9 O 0.8134 0.8134 0.3846  3 Li 2.00-2.08

---

(4)
Density functional theory data (GGA-PBE) for an optimized crystal structure of Sr2UZnRh6.

Values from the calculation:
Its formation energy is -0.298 eV per atom. For the size of the total moment, the calculation gives 0.000 μB/atom. Its crystal system is monoclinic. The symmetry is C2/m, No. 12.

a = 6.6303 Å, b = 6.6303 Å, c = 8.4790 Å
α = 126.57°, β = 126.57°, γ = 49.24°
Closest atoms and distances in Å follow each position.
Sites, in units of the cell vectors:
1 Sr 0.2241 0.2241 0.1818  7 Rh 3.05-3.39
2 Sr 0.7759 0.7759 0.8182  7 Rh 3.05-3.39
3 U 0.0000 0.0000 0.5000  6 Rh 2.45-2.69
4 Zn 0.5000 0.5000 0.0000  6 Rh 2.61-2.85
5 Rh 0.2505 0.2505 0.5652  6 Rh 2.67-2.97, 1 U 2.69, 1 Zn 2.85
6 Rh 0.2535 0.7407 0.7333  1 U 2.45, 1 Zn 2.61, 3 Rh 2.67-2.72
7 Rh 0.2593 0.7465 0.2667  1 U 2.45, 1 Zn 2.61, 3 Rh 2.67-2.72
8 Rh 0.7407 0.2535 0.7333  1 U 2.45, 1 Zn 2.61, 3 Rh 2.67-2.72
9 Rh 0.7465 0.2593 0.2667  1 U 2.45, 1 Zn 2.61, 3 Rh 2.67-2.72
10 Rh 0.7495 0.7495 0.4348  6 Rh 2.67-2.97, 1 U 2.69, 1 Zn 2.85

---

(5)
Density functional theory data (GGA-PBE) for an optimized crystal structure of TiSnS2.

Values from the calculation:
For the size of the total moment, the calculation gives 0.500 μB/atom. Its crystal system is tetragonal. The formation energy without anion corrections comes out at -0.562 eV per atom. The symmetry is I4_1/amd, No. 141.

a = 6.7384 Å, b = 6.7384 Å, c = 6.7384 Å
α = 131.78°, β = 131.78°, γ = 70.58°
Closest atoms and distances in Å follow each position.
Sites, in units of the cell vectors:
1 Ti 0.3750 0.6250 0.7500  6 S 2.55-2.76
2 Ti 0.6250 0.3750 0.2500  6 S 2.55-2.76
3 Sn 0.1250 0.8750 0.2500  6 S 2.76-2.95
4 Sn 0.8750 0.1250 0.7500  6 S 2.76-2.95
5 S 0.1433 0.3933 0.7500  3 Ti 2.55-2.76, 2 Sn 2.76
6 S 0.3933 0.1433 0.2500  3 Ti 2.55-2.76, 2 Sn 2.76
7 S 0.6067 0.8567 0.7500  3 Ti 2.55-2.76, 2 Sn 2.76
8 S 0.8567 0.6067 0.2500  3 Ti 2.55-2.76, 2 Sn 2.76

---

(6)
Density functional theory data (GGA-PBE) for an optimized crystal structure of La6SmDy3.

Values from the calculation:
Its formation energy is 0.186 eV per atom. For the size of the total moment, the calculation gives 0.000 μB/atom. Its crystal system is orthorhombic. The symmetry is Pbam, No. 55.

a = 10.1032 Å, b = 12.5399 Å, c = 5.6763 Å
α = 90.00°, β = 90.00°, γ = 90.00°
Closest atoms and distances in Å follow each position.
Sites, in units of the cell vectors:
1 La 0.0599 0.2217 0.0000  2 La 3.28-3.53, 1 Sm 3.54
2 La 0.1792 0.6732 0.5000  3 Dy 3.37-3.44
3 La 0.1842 0.9799 0.0000  1 Sm 3.20, 2 La 3.28-3.53, 4 Dy 3.40-3.45
4 La 0.3158 0.4799 0.0000  1 Sm 3.20, 2 La 3.28-3.53, 4 Dy 3.40-3.45
5 La 0.3208 0.1732 0.5000  3 Dy 3.37-3.44
6 La 0.4401 0.7217 0.0000  2 La 3.28-3.53, 1 Sm 3.54
7 La 0.5599 0.2783 0.0000  2 La 3.28-3.53, 1 Sm 3.54
8 La 0.6792 0.8268 0.5000  3 Dy 3.37-3.44
9 La 0.6842 0.5201 0.0000  1 Sm 3.20, 2 La 3.28-3.53, 4 Dy 3.40-3.45
10 La 0.8158 0.0201 0.0000  1 Sm 3.20, 2 La 3.28-3.53, 4 Dy 3.40-3.45
11 La 0.8208 0.3268 0.5000  3 Dy 3.37-3.44
12 La 0.9401 0.7783 0.0000  2 La 3.28-3.53, 1 Sm 3.54
13 Sm 0.0000 0.5000 0.0000  4 La 3.20-3.54, 4 Dy 3.43
14 Sm 0.5000 0.0000 0.0000  4 La 3.20-3.54, 4 Dy 3.43
15 Dy 0.0000 0.0000 0.5000  4 La 3.40, 2 Dy 3.76
16 Dy 0.1474 0.4031 0.5000  7 La 3.37-3.74, 2 Sm 3.43, 1 Dy 3.76
17 Dy 0.3526 0.9031 0.5000  7 La 3.37-3.74, 2 Sm 3.43, 1 Dy 3.76
18 Dy 0.5000 0.5000 0.5000  4 La 3.40, 2 Dy 3.76
19 Dy 0.6474 0.0969 0.5000  7 La 3.37-3.74, 2 Sm 3.43, 1 Dy 3.76
20 Dy 0.8526 0.5969 0.5000  7 La 3.37-3.74, 2 Sm 3.43, 1 Dy 3.76

---

(7)
Density functional theory data (GGA-PBE) for an optimized crystal structure of BaCdSe2.

Values from the calculation:
For the size of the total moment, the calculation gives 0.000 μB/atom. Its crystal system is tetragonal. The formation energy without anion corrections comes out at -1.114 eV per atom. The symmetry is P4mm, No. 99.

a = 4.4083 Å, b = 4.4083 Å, c = 6.7368 Å
α = 90.00°, β = 90.00°, γ = 90.00°
Closest atoms and distances in Å follow each position.
Sites, in units of the cell vectors:
1 Ba 0.0000 0.0000 0.0000  6 Se 3.15-3.48
2 Cd 0.5000 0.5000 0.5367  1 Se 2.65
3 Se 0.0000 0.0000 0.4836  4 Cd 3.14, 2 Ba 3.26-3.48
4 Se 0.5000 0.5000 0.9300  1 Cd 2.65

---

(8)
Density functional theory data (GGA-PBE) for an optimized crystal structure of Cd5Sn3Cl16.

Values from the calculation:
For the size of the total moment, the calculation gives 0.000 μB/atom. Its crystal system is monoclinic. The formation energy without anion corrections comes out at -1.029 eV per atom. The symmetry is Cm, No. 8.

a = 8.1988 Å, b = 8.1988 Å, c = 12.2776 Å
α = 90.98°, β = 90.98°, γ = 59.05°
Closest atoms and distances in Å follow each position.
Sites, in units of the cell vectors:
1 Cd 0.0000 0.0000 0.0000  6 Cl 2.62-2.72
2 Cd 0.3403 0.8352 0.5054  6 Cl 2.66-2.74
3 Cd 0.5105 0.5105 0.2351  6 Cl 2.60-2.75
4 Cd 0.8352 0.3403 0.5054  6 Cl 2.66-2.74
5 Cd 0.8414 0.8414 0.7253  6 Cl 2.64-2.82
6 Sn 0.0036 0.5047 0.0033  6 Cl 2.78-2.90
7 Sn 0.3435 0.3435 0.5030  6 Cl 2.80-2.92
8 Sn 0.5047 0.0036 0.0033  6 Cl 2.78-2.90
9 Cl 0.0036 0.0036 0.6163  3 Cd 2.70-2.74
10 Cl 0.1344 0.6906 0.8664  2 Cd 2.68-2.72, 1 Sn 2.85
11 Cl 0.1518 0.1518 0.8826  1 Cd 2.62, 2 Sn 2.89
12 Cl 0.1601 0.1601 0.3960  2 Cd 2.66, 1 Sn 2.91
13 Cl 0.2063 0.6686 0.3743  2 Cd 2.66-2.75, 1 Sn 2.80
14 Cl 0.3291 0.8282 0.1174  2 Cd 2.68-2.71, 1 Sn 2.89
15 Cl 0.3481 0.3481 0.1353  1 Cd 2.60, 2 Sn 2.90
16 Cl 0.5109 0.9870 0.6217  2 Cd 2.64-2.68, 1 Sn 2.92
17 Cl 0.5175 0.5175 0.6232  2 Cd 2.67, 1 Sn 2.86
18 Cl 0.6538 0.6538 0.3746  3 Cd 2.64-2.74
19 Cl 0.6686 0.2063 0.3743  2 Cd 2.66-2.75, 1 Sn 2.80
20 Cl 0.6877 0.6877 0.8665  2 Sn 2.78, 1 Cd 2.82
21 Cl 0.6906 0.1344 0.8664  2 Cd 2.68-2.72, 1 Sn 2.85
22 Cl 0.8282 0.3291 0.1174  2 Cd 2.68-2.71, 1 Sn 2.89
23 Cl 0.8508 0.8508 0.1247  1 Cd 2.65, 2 Sn 2.85
24 Cl 0.9870 0.5109 0.6217  2 Cd 2.64-2.68, 1 Sn 2.92

---

| no. | DFT total energy (eV per atom) |
| --- | --- |
| 1 | -2.44 |
| 2 | -4.95 |
| 3 | -4.65 |
| 4 | -6.30 |
| 5 | -5.60 |
| 6 | -4.62 |
| 7 | -3.57 |
| 8 | -2.95 |